[1]
## TlGeMo2 (PBE-GGA)

Data for a geometry-optimized TlGeMo2 structure.

Output
Crystal system   tetragonal
Energy above the lowest structure with this stoichiometry   0.103 eV per atom
ΔH_f (0 K)   0.734 eV per atom
Fermi-level density of states   0.5970 states/eV/atom
Space group   I-42d, No. 122
Calculated density   9.88 g/cm3

Cell lengths 10.144, 10.144, 10.144 Å; angles 157.12, 157.12, 32.59 degrees
Sites, in units of the cell vectors:
Tl1 0.000 0.000 0.000
Tl2 0.750 0.250 0.500
Ge1 0.250 0.750 0.500
Ge2 0.500 0.500 0.000
Mo1 0.191 0.625 0.066
Mo2 0.375 0.441 0.566
Mo3 0.559 0.125 0.934
Mo4 0.875 0.809 0.434



[2]
## TmGe2Mo (PBE-GGA)

Data for a geometry-optimized TmGe2Mo structure.

Output
Crystal system   tetragonal
Energy above the lowest structure with this stoichiometry   0.000 eV per atom
ΔH_f (0 K)   -0.280 eV per atom
Fermi-level density of states   0.8864 states/eV/atom
Space group   P4/mmm, No. 123
Calculated density   9.34 g/cm3

Cell lengths 3.327, 3.327, 6.586 Å; angles 90.00, 90.00, 90.00 degrees
Sites, in units of the cell vectors:
Tm1 0.000 0.000 0.000
Ge1 0.500 0.500 0.295
Ge2 0.500 0.500 0.705
Mo1 0.000 0.000 0.500



[3]
## TmGeMo (PBE-GGA)

Data for a geometry-optimized TmGeMo structure.

Output
Crystal system   hexagonal
ΔH_f (0 K)   -0.363 eV per atom
Fermi-level density of states   0.9804 states/eV/atom
Space group   P-62m, No. 189
Calculated density   9.68 g/cm3

Cell lengths 7.156, 7.156, 3.915 Å; angles 90.00, 90.00, 120.00 degrees
Sites, in units of the cell vectors:
Tm1 0.000 0.402 0.000
Tm2 0.402 0.000 0.000
Tm3 0.598 0.598 0.000
Ge1 0.000 0.000 0.000
Ge2 0.333 0.667 0.500
Ge3 0.667 0.333 0.500
Mo1 0.000 0.755 0.500
Mo2 0.245 0.245 0.500
Mo3 0.755 0.000 0.500



[4]
## Tm2Ge4Mo3 (PBE-GGA)

Data for a geometry-optimized Tm2Ge4Mo3 structure.

Output
Crystal system   monoclinic
ΔH_f (0 K)   -0.537 eV per atom
Fermi-level density of states   0.4733 states/eV/atom
Space group   P2_1/c, No. 14
Calculated density   9.60 g/cm3

Cell lengths 6.962, 7.024, 6.865 Å; angles 90.00, 109.29, 90.00 degrees
Sites, in units of the cell vectors:
Tm1 0.191 0.172 0.056
Tm2 0.191 0.328 0.556
Tm3 0.809 0.672 0.444
Tm4 0.809 0.828 0.944
Ge1 0.091 0.545 0.856
Ge2 0.091 0.955 0.356
Ge3 0.497 0.637 0.633
Ge4 0.497 0.863 0.133
Ge5 0.503 0.137 0.867
Ge6 0.503 0.363 0.367
Ge7 0.909 0.045 0.644
Ge8 0.909 0.455 0.144
Mo1 0.247 0.658 0.247
Mo2 0.247 0.842 0.747
Mo3 0.500 0.000 0.500
Mo4 0.500 0.500 0.000
Mo5 0.753 0.158 0.253
Mo6 0.753 0.342 0.753